# 1
PBE-GGA BeCrCu2, relaxed; calculated volume = 11.52 Å³/atom; E_form = 0.206 eV/atom; space group = Immm (71); total DFT energy (no corrections) = -5.1796 eV per atom
1.0
2.781 0.000 0.000
0.000 4.089 0.000
0.000 0.000 8.107
Be Cr Cu
2 2 4
direct
0.000 0.000 0.000
0.500 0.500 0.500
0.000 0.000 0.500
0.500 0.500 0.000
0.000 0.500 0.275
0.000 0.500 0.725
0.500 0.000 0.225
0.500 0.000 0.775

# 2
PBE-GGA BeCrCu2Ir, relaxed; calculated volume = 14.40 Å³/atom; E_form = 1.554 eV/atom; space group = P4/mmm (123); total DFT energy (no corrections) = -4.5269 eV per atom
1.0
4.262 0.000 0.000
0.000 4.262 0.000
0.000 0.000 3.963
Be Cr Cu Ir
1 1 2 1
direct
0.000 0.000 0.000
0.000 0.000 0.500
0.000 0.500 0.500
0.500 0.000 0.500
0.500 0.500 0.000

# 3
PBE-GGA BeCrCuMo2, relaxed; calculated volume = 17.01 Å³/atom; E_form = 1.830 eV/atom; space group = P4/mmm (123); total DFT energy (no corrections) = -5.9918 eV per atom
1.0
4.491 0.000 0.000
0.000 4.491 0.000
0.000 0.000 4.218
Be Cr Cu Mo
1 1 1 2
direct
0.000 0.000 0.000
0.500 0.500 0.000
0.500 0.500 0.500
0.000 0.500 0.500
0.500 0.000 0.500

# 4
PBE-GGA Be2CrCuP, relaxed; calculated volume = 14.40 Å³/atom; E_form = 0.832 eV/atom; space group = P4/mmm (123); total DFT energy (no corrections) = -4.4844 eV per atom
1.0
3.957 0.000 0.000
0.000 3.957 0.000
0.000 0.000 4.597
Be Cr Cu P
2 1 1 1
direct
0.000 0.500 0.000
0.500 0.000 0.000
0.000 0.000 0.500
0.000 0.000 0.000
0.500 0.500 0.500

# 5
PBE-GGA RbBeCrCu2, relaxed; calculated volume = 21.85 Å³/atom; E_form = 1.177 eV/atom; space group = P4/mmm (123); total DFT energy (no corrections) = -3.3252 eV per atom
1.0
4.441 0.000 0.000
0.000 4.441 0.000
0.000 0.000 5.540
Rb Be Cr Cu
1 1 1 2
direct
0.000 0.000 0.000
0.000 0.000 0.500
0.500 0.500 0.000
0.000 0.500 0.500
0.500 0.000 0.500

# 6
PBE-GGA BeCr2CuSe, relaxed; calculated volume = 17.98 Å³/atom; space group = P4/mmm (123); uncorrected formation energy = 4.5 eV per formula unit; total DFT energy (no corrections) = -5.2105 eV per atom
1.0
4.714 0.000 0.000
0.000 4.714 0.000
0.000 0.000 4.046
Be Cr Cu Se
1 2 1 1
direct
0.000 0.000 0.000
0.000 0.500 0.500
0.500 0.000 0.500
0.500 0.500 0.000
0.000 0.000 0.500